Here is a relaxed BaCdTe3Pb crystal from Alexandria via LeMat-Bulk. Energies are from GGA-PBE.

Computed properties:
The total moment comes out at 0.000 μB per atom. The formation energy (no corrections) comes out at -0.84 eV/atom. Its total energy is -3.50 eV per atom.

```
BaCdTe3Pb
1.0
-3.6167 -0.5563 -2.8755
5.4670 -5.5420 -5.8040
-4.1162 -7.1583 6.5619
Ba Cd Te Pb
2 2 6 2
Cartesian
-0.8148 -2.7378 -0.3285
-1.4510 -10.5188 -1.7891
-2.8845 -4.9914 2.7106
0.6187 -8.2652 -4.8282
1.6978 -6.3226 -6.5612
-3.9636 -6.9339 4.4436
1.3442 -8.0120 -2.0237
-3.6100 -5.2446 -0.0940
-1.0384 -4.0110 -3.5670
-1.2275 -9.2456 1.4494
2.1442 -4.7076 -3.6691
-4.4100 -8.5490 1.5514
```

***

Here is a relaxed Ba2TlCd3Pb4 crystal from Alexandria via LeMat-Bulk. Energies are from GGA-PBE.

Computed properties:
The total moment comes out at 0.000 μB per atom. Its total energy is -2.66 eV per atom.

```
Ba2TlCd3Pb4
1.0
5.1641 0.0000 0.0000
0.0000 5.1641 0.0000
0.0000 0.0000 12.5078
Ba Tl Cd Pb
2 1 3 4
Cartesian
2.5821 0.0000 3.1188
0.0000 2.5821 9.3891
2.5821 2.5821 6.2539
0.0000 0.0000 6.2539
2.5821 0.0000 10.8649
0.0000 2.5821 1.6429
2.5821 2.5821 0.0000
0.0000 0.0000 0.0000
2.5821 0.0000 7.9651
0.0000 2.5821 4.5427
```